1.
The following is a GGA-PBE calculation of a relaxed Cr2PtPb crystal, from the Alexandria database.

Cell and atoms, written as CIF:
```
data_Cr2PtPb
_chemical_formula_sum 'Cr2 Pt1 Pb1'
_symmetry_space_group_name_H-M 'P 1'
_symmetry_Int_Tables_number 1
_cell_length_a 5.1189
_cell_length_b 5.1189
_cell_length_c 5.1189
_cell_angle_alpha 133.27
_cell_angle_beta 133.21
_cell_angle_gamma 68.27
loop_
_symmetry_equiv_pos_as_xyz
'x,y,z'
loop_
_atom_site_label
_atom_site_fract_x
_atom_site_fract_y
_atom_site_fract_z
_atom_site_occupancy
Pb1 0.4999 0.4999 0.0000 1
Cr1 0.0002 0.0002 0.0000 1
Pt1 0.2498 0.7498 0.5000 1
Cr2 0.7500 0.2500 0.5000 1
```

The calculation puts the density at 12.0 g/cm3. The space group is I-4m2 (119). Its formation energy is 387 meV/atom. As for the calculated total energy: -6.862 eV per atom.

---

2.
The following is a GGA-PBE calculation of a relaxed LiGaCu2As crystal, from the Alexandria database.

Cell and atoms, written as CIF:
```
data_LiGaCu2As
_chemical_formula_sum 'Li1 Ga1 Cu2 As1'
_symmetry_space_group_name_H-M 'P 1'
_symmetry_Int_Tables_number 1
_cell_length_a 4.3748
_cell_length_b 4.2896
_cell_length_c 4.3748
_cell_angle_alpha 90.00
_cell_angle_beta 90.00
_cell_angle_gamma 90.00
loop_
_symmetry_equiv_pos_as_xyz
'x,y,z'
loop_
_atom_site_label
_atom_site_fract_x
_atom_site_fract_y
_atom_site_fract_z
_atom_site_occupancy
Cu1 0.0000 0.0000 0.5000 1
Li1 0.0000 0.0000 0.0000 1
Cu2 0.5000 0.0000 0.0000 1
Ga1 0.5000 0.5000 0.5000 1
As1 0.0000 0.5000 0.0000 1
```

The calculation puts the density at 5.6 g/cm3. The space group is P4/mmm (123). Its formation energy is 485 meV/atom. As for the calculated total energy: -3.072 eV per atom.

---

3.
The following is a GGA-PBE calculation of a relaxed NaRu2Pt2 crystal, from the Alexandria database.

Cell and atoms, written as CIF:
```
data_NaRu2Pt2
_chemical_formula_sum 'Na2 Ru4 Pt4'
_symmetry_space_group_name_H-M 'P 1'
_symmetry_Int_Tables_number 1
_cell_length_a 7.8769
_cell_length_b 7.8769
_cell_length_c 2.6951
_cell_angle_alpha 90.00
_cell_angle_beta 90.00
_cell_angle_gamma 90.00
loop_
_symmetry_equiv_pos_as_xyz
'x,y,z'
loop_
_atom_site_label
_atom_site_fract_x
_atom_site_fract_y
_atom_site_fract_z
_atom_site_occupancy
Ru1 0.8269 0.3269 0.5000 1
Ru2 0.1731 0.6731 0.5000 1
Ru3 0.3269 0.1731 0.5000 1
Pt1 0.3761 0.8761 0.0000 1
Pt2 0.6239 0.1239 0.0000 1
Pt3 0.1239 0.3761 0.0000 1
Ru4 0.6731 0.8269 0.5000 1
Na1 0.0000 0.0000 0.0000 1
Pt4 0.8761 0.6239 0.0000 1
Na2 0.5000 0.5000 0.0000 1
```

The calculation puts the density at 12.2 g/cm3. The space group is P4/mbm (127). Its formation energy is 230 meV/atom. As for the calculated total energy: -6.161 eV per atom.

---

4.
The following is a GGA-PBE calculation of a relaxed Zr2ZnB crystal, from the Alexandria database.

Cell and atoms, written as CIF:
```
data_Zr2ZnB
_chemical_formula_sum 'Zr4 Zn2 B2'
_symmetry_space_group_name_H-M 'P 1'
_symmetry_Int_Tables_number 1
_cell_length_a 6.8735
_cell_length_b 6.8735
_cell_length_c 5.7344
_cell_angle_alpha 53.18
_cell_angle_beta 53.18
_cell_angle_gamma 90.00
loop_
_symmetry_equiv_pos_as_xyz
'x,y,z'
loop_
_atom_site_label
_atom_site_fract_x
_atom_site_fract_y
_atom_site_fract_z
_atom_site_occupancy
Zr1 0.1712 0.6250 0.2500 1
Zr2 0.8750 0.8288 0.7500 1
Zr3 0.3750 0.4212 0.7500 1
Zr4 0.5788 0.1250 0.2500 1
Zn1 0.7500 0.2500 0.5000 1
B1 0.2500 0.7500 0.5000 1
B2 0.5000 0.5000 0.0000 1
Zn2 0.0000 0.0000 0.0000 1
```

The calculation puts the density at 6.0 g/cm3. The space group is I-42d (122). Its formation energy is 83 meV/atom. As for the calculated total energy: -6.178 eV per atom.

---

5.
The following is a GGA-PBE calculation of a relaxed Ag2RhI6 crystal, from the Alexandria database.

Cell and atoms, written as CIF:
```
data_Ag2RhI6
_chemical_formula_sum 'Ag4 Rh2 I12'
_symmetry_space_group_name_H-M 'P 1'
_symmetry_Int_Tables_number 1
_cell_length_a 7.2817
_cell_length_b 6.8815
_cell_length_c 12.2302
_cell_angle_alpha 90.00
_cell_angle_beta 89.89
_cell_angle_gamma 90.00
loop_
_symmetry_equiv_pos_as_xyz
'x,y,z'
loop_
_atom_site_label
_atom_site_fract_x
_atom_site_fract_y
_atom_site_fract_z
_atom_site_occupancy
I1 0.7941 0.7329 0.9989 1
I2 0.8350 0.7796 0.6553 1
I3 0.2059 0.2671 0.0011 1
Ag1 0.9996 0.4982 0.8259 1
I4 0.3356 0.7153 0.8426 1
Ag2 0.5004 0.9982 0.6741 1
Rh1 0.0000 0.0000 0.5000 1
Rh2 0.5000 0.5000 0.0000 1
Ag3 0.0004 0.5018 0.1741 1
I5 0.2941 0.7671 0.4989 1
I6 0.7059 0.2329 0.5011 1
I7 0.6644 0.2847 0.1574 1
I8 0.1650 0.2204 0.3447 1
I9 0.1644 0.2153 0.6574 1
I10 0.6650 0.2796 0.8447 1
I11 0.8356 0.7847 0.3426 1
I12 0.3350 0.7204 0.1553 1
Ag4 0.4996 0.0018 0.3259 1
```

The calculation puts the density at 5.9 g/cm3. The space group is P2_1/c (14). As for the calculated total energy: -2.649 eV per atom. For the uncorrected formation energy, the calculation gives -0.165 eV per atom.

---

6.
The following is a GGA-PBE calculation of a relaxed CeSc4Rh5 crystal, from the Alexandria database.

Cell and atoms, written as CIF:
```
data_CeSc4Rh5
_chemical_formula_sum 'Ce1 Sc4 Rh5'
_symmetry_space_group_name_H-M 'P 1'
_symmetry_Int_Tables_number 1
_cell_length_a 3.2053
_cell_length_b 3.2053
_cell_length_c 17.1173
_cell_angle_alpha 90.00
_cell_angle_beta 90.00
_cell_angle_gamma 90.00
loop_
_symmetry_equiv_pos_as_xyz
'x,y,z'
loop_
_atom_site_label
_atom_site_fract_x
_atom_site_fract_y
_atom_site_fract_z
_atom_site_occupancy
Rh1 0.5000 0.5000 0.3091 1
Sc1 0.0000 0.0000 0.4041 1
Ce1 0.0000 0.0000 0.0000 1
Rh2 0.5000 0.5000 0.8813 1
Sc2 0.0000 0.0000 0.2115 1
Sc3 0.0000 0.0000 0.5959 1
Rh3 0.5000 0.5000 0.6909 1
Rh4 0.5000 0.5000 0.5000 1
Rh5 0.5000 0.5000 0.1187 1
Sc4 0.0000 0.0000 0.7885 1
```

The calculation puts the density at 7.9 g/cm3. The space group is P4/mmm (123). Its formation energy is -931 meV/atom. As for the calculated total energy: -7.733 eV per atom.

---

7.
The following is a GGA-PBE calculation of a relaxed CdIn2As crystal, from the Alexandria database.

Cell and atoms, written as CIF:
```
data_CdIn2As
_chemical_formula_sum 'Cd1 In2 As1'
_symmetry_space_group_name_H-M 'P 1'
_symmetry_Int_Tables_number 1
_cell_length_a 5.7737
_cell_length_b 5.7737
_cell_length_c 3.1537
_cell_angle_alpha 90.00
_cell_angle_beta 90.00
_cell_angle_gamma 112.64
loop_
_symmetry_equiv_pos_as_xyz
'x,y,z'
loop_
_atom_site_label
_atom_site_fract_x
_atom_site_fract_y
_atom_site_fract_z
_atom_site_occupancy
In1 0.0000 0.0000 0.0000 1
Cd1 0.0000 0.5000 0.5000 1
As1 0.5000 0.0000 0.5000 1
In2 0.5000 0.5000 0.0000 1
```

The calculation puts the density at 7.1 g/cm3. The space group is Cmmm (65). Its formation energy is 121 meV/atom. As for the calculated total energy: -2.640 eV per atom.

---

8.
The following is a GGA-PBE calculation of a relaxed AgGeP2 crystal, from the Alexandria database.

Cell and atoms, written as CIF:
```
data_AgGeP2
_chemical_formula_sum 'Ag2 Ge2 P4'
_symmetry_space_group_name_H-M 'P 1'
_symmetry_Int_Tables_number 1
_cell_length_a 5.7019
_cell_length_b 5.7019
_cell_length_c 6.6898
_cell_angle_alpha 64.78
_cell_angle_beta 64.78
_cell_angle_gamma 90.00
loop_
_symmetry_equiv_pos_as_xyz
'x,y,z'
loop_
_atom_site_label
_atom_site_fract_x
_atom_site_fract_y
_atom_site_fract_z
_atom_site_occupancy
Ge1 0.2500 0.7500 0.5000 1
Ag1 0.7500 0.2500 0.5000 1
P1 0.6090 0.1250 0.2500 1
Ag2 0.0000 0.0000 0.0000 1
P2 0.1410 0.6250 0.2500 1
P3 0.3750 0.3910 0.7500 1
P4 0.8750 0.8590 0.7500 1
Ge2 0.5000 0.5000 0.0000 1
```

The calculation puts the density at 4.6 g/cm3. The space group is I-42d (122). Its formation energy is 120 meV/atom. As for the calculated total energy: -4.452 eV per atom.

---

9.
The following is a GGA-PBE calculation of a relaxed SmU2CrN4 crystal, from the Alexandria database.

Cell and atoms, written as CIF:
```
data_SmU2CrN4
_chemical_formula_sum 'Sm2 U4 Cr2 N8'
_symmetry_space_group_name_H-M 'P 1'
_symmetry_Int_Tables_number 1
_cell_length_a 3.3404
_cell_length_b 6.0147
_cell_length_c 11.3217
_cell_angle_alpha 90.00
_cell_angle_beta 90.00
_cell_angle_gamma 106.12
loop_
_symmetry_equiv_pos_as_xyz
'x,y,z'
loop_
_atom_site_label
_atom_site_fract_x
_atom_site_fract_y
_atom_site_fract_z
_atom_site_occupancy
N1 0.0000 0.0000 0.0000 1
U1 0.6327 0.2653 0.4446 1
U2 0.6327 0.2653 0.0554 1
U3 0.3673 0.7347 0.9446 1
N2 0.5574 0.1148 0.2500 1
N3 0.7295 0.4589 0.6184 1
Sm1 0.8984 0.7968 0.2500 1
N4 0.2705 0.5411 0.1184 1
N5 0.7295 0.4589 0.8816 1
N6 0.2705 0.5411 0.3816 1
Sm2 0.1016 0.2032 0.7500 1
Cr1 0.8391 0.6782 0.7500 1
N7 0.0000 0.0000 0.5000 1
U4 0.3673 0.7347 0.5554 1
Cr2 0.1609 0.3218 0.2500 1
N8 0.4426 0.8852 0.7500 1
```

The calculation puts the density at 11.2 g/cm3. The space group is Cmcm (63). As for the calculated total energy: -9.946 eV per atom. For the uncorrected formation energy, the calculation gives -1.169 eV per atom.

---

10.
The following is a GGA-PBE calculation of a relaxed K3SiO3 crystal, from the Alexandria database.

Cell and atoms, written as CIF:
```
data_K3SiO3
_chemical_formula_sum 'K12 Si4 O12'
_symmetry_space_group_name_H-M 'P 1'
_symmetry_Int_Tables_number 1
_cell_length_a 9.4086
_cell_length_b 8.5957
_cell_length_c 9.8886
_cell_angle_alpha 90.00
_cell_angle_beta 90.00
_cell_angle_gamma 123.18
loop_
_symmetry_equiv_pos_as_xyz
'x,y,z'
loop_
_atom_site_label
_atom_site_fract_x
_atom_site_fract_y
_atom_site_fract_z
_atom_site_occupancy
O1 0.0254 0.2919 0.9189 1
O2 0.7335 0.7081 0.9189 1
Si1 0.9121 0.8242 0.0000 1
O3 0.4746 0.7081 0.4189 1
O4 0.2665 0.2919 0.0811 1
K1 0.7050 0.0000 0.8435 1
K2 0.5055 0.3476 0.8781 1
K3 0.1579 0.6524 0.8781 1
O5 0.5254 0.2919 0.5811 1
K4 0.9945 0.6524 0.3781 1
K5 0.2050 0.0000 0.6565 1
Si2 0.5879 0.1758 0.5000 1
O6 0.2335 0.7081 0.5811 1
K6 0.0055 0.3476 0.6219 1
K7 0.3421 0.3476 0.3781 1
K8 0.2950 0.0000 0.1565 1
O7 0.9746 0.7081 0.0811 1
O8 0.7665 0.2919 0.4189 1
K9 0.8421 0.3476 0.1219 1
K10 0.4945 0.6524 0.1219 1
O9 0.0787 0.0000 0.9044 1
Si3 0.4121 0.8242 0.5000 1
O10 0.4213 0.0000 0.4044 1
O11 0.9213 0.0000 0.0956 1
Si4 0.0879 0.1758 0.0000 1
O12 0.5787 0.0000 0.5956 1
K11 0.6579 0.6524 0.6219 1
K12 0.7950 0.0000 0.3435 1
```

The calculation puts the density at 1.9 g/cm3. The space group is Cmce (64). As for the calculated total energy: -5.229 eV per atom. For the uncorrected formation energy, the calculation gives -1.859 eV per atom.

---

11.
The following is a GGA-PBE calculation of a relaxed SrLi4InPb2 crystal, from the Alexandria database.

Cell and atoms, written as CIF:
```
data_SrLi4InPb2
_chemical_formula_sum 'Sr1 Li4 In1 Pb2'
_symmetry_space_group_name_H-M 'P 1'
_symmetry_Int_Tables_number 1
_cell_length_a 4.9189
_cell_length_b 4.9189
_cell_length_c 9.4312
_cell_angle_alpha 74.88
_cell_angle_beta 74.88
_cell_angle_gamma 60.00
loop_
_symmetry_equiv_pos_as_xyz
'x,y,z'
loop_
_atom_site_label
_atom_site_fract_x
_atom_site_fract_y
_atom_site_fract_z
_atom_site_occupancy
Li1 0.3992 0.3992 0.8025 1
Pb1 0.7490 0.7490 0.7531 1
In1 0.5000 0.5000 0.5000 1
Li2 0.8687 0.8687 0.3940 1
Li3 0.1313 0.1313 0.6060 1
Pb2 0.2510 0.2510 0.2469 1
Li4 0.6008 0.6008 0.1975 1
Sr1 0.0000 0.0000 0.0000 1
```

The calculation puts the density at 5.7 g/cm3. The space group is R-3m (166). Its formation energy is -316 meV/atom. As for the calculated total energy: -2.752 eV per atom.